Computed, not measured: a relaxed structure of TbScCI at the PBE level of DFT.

```
TbScCI
1.0
3.673 0.000 0.000
-1.836 3.181 0.000
-1.836 -1.060 7.190
C Tb Sc I
1 1 1 1
direct
0.317 0.556 0.889
0.523 0.159 0.697
0.079 0.937 0.032
0.960 0.378 0.352
```

Calculated values
Crystal system: trigonal
E_form (uncorrected): -724 meV/atom

Computed, not measured: a relaxed structure of NaLa3In at the PBE level of DFT.

```
NaLa3In
1.0
6.149 0.000 0.000
0.000 6.149 0.000
0.000 0.000 6.149
Na La In
1 3 1
direct
0.500 0.500 0.500
0.000 0.500 0.000
0.500 0.000 0.000
0.000 0.000 0.500
0.000 0.000 0.000
```

Calculated values
Crystal system: cubic
Formation energy: 303 meV/atom
E above lowest polymorph: 0.0 meV/atom